# Be8Ni2Ir

Be8Ni2Ir after structural relaxation (PBE, the Alexandria database).

## Properties
- space-group type = C2/m (12)

The structure in POSCAR format:
```
Be8Ni2Ir
1.0
5.583 -1.784 0.000
5.583 1.784 0.000
-2.553 0.000 5.018
Be Ni Ir
8 2 1
direct
0.036 0.036 0.224
0.146 0.146 0.701
0.322 0.322 0.606
0.395 0.395 0.043
0.605 0.605 0.957
0.678 0.678 0.394
0.854 0.854 0.299
0.964 0.964 0.776
0.222 0.222 0.156
0.778 0.778 0.844
0.500 0.500 0.500
```

---

# ThPa2Al

ThPa2Al after structural relaxation (PBE, the Alexandria database).

## Properties
- space-group type = P4/mmm (123)
- distance to the lowest polymorph of the same formula (eV/atom) = 0.122

The structure in POSCAR format:
```
ThPa2Al
1.0
3.882 0.000 0.000
0.000 3.882 0.000
0.000 0.000 6.871
Th Pa Al
1 2 1
direct
0.000 0.000 0.000
0.500 0.500 0.296
0.500 0.500 0.704
0.000 0.000 0.500
```

---

# BeCr2Os

BeCr2Os after structural relaxation (PBE, the Alexandria database).

## Properties
- space-group type = P2/m (10)

The structure in POSCAR format:
```
BeCr2Os
1.0
2.599 0.000 0.000
0.000 3.849 0.000
-0.625 0.000 4.684
Be Cr Os
1 2 1
direct
0.000 0.000 0.000
0.479 0.500 0.229
0.521 0.500 0.771
0.000 0.000 0.500
```

---

# RbSnO2F

RbSnO2F after structural relaxation (PBE, the Alexandria database).

## Properties
- space-group type = P4/mmm (123)
- uncorrected formation energy (eV per atom) = -0.131

The structure in POSCAR format:
```
RbSnO2F
1.0
4.402 0.000 0.000
0.000 4.402 0.000
0.000 0.000 4.822
Rb Sn O F
1 1 2 1
direct
0.000 0.000 0.000
0.500 0.500 0.500
0.000 0.500 0.000
0.500 0.000 0.000
0.000 0.000 0.500
```

---

| no. | total DFT energy (no corrections) (eV per atom) | magnetization (μB per formula unit) |
| --- | --- | --- |
| 1 | -4.914 | 0.00 |
| 2 | -7.446 | 0.00 |
| 3 | -8.501 | 0.00 |
| 4 | -3.482 | 0.00 |